[1]
Below is an optimized crystal structure of Pm3GeBi3, with properties calculated at the PBE level.

Summary:
The symmetry is C2/m (12). The density of states at the Fermi level is 7.6 states/eV per cell. Its total DFT energy (no corrections) is -0.3590 Ry/atom.

a b c (Å): 7.5448 7.5448 8.6547
angles (deg): 88.57 88.57 107.68
Last column: nearest neighbours and their distance in Å.
Fractional positions:
Pm  0.9223  0.9223  0.2592  2 Ge 2.94-3.17, 3 Bi 3.10-3.16
Pm  0.8671  0.5314  0.7168  1 Ge 3.04, 4 Bi 3.19-3.37
Pm  0.5314  0.8671  0.7168  1 Ge 3.04, 4 Bi 3.19-3.37
Pm  0.1329  0.4686  0.2832  1 Ge 3.04, 4 Bi 3.19-3.37
Pm  0.4686  0.1329  0.2832  1 Ge 3.04, 4 Bi 3.19-3.37
Pm  0.0777  0.0777  0.7408  2 Ge 2.94-3.17, 3 Bi 3.10-3.16
Ge  0.7821  0.7821  0.9582  4 Pm 2.94-3.17, 2 Bi 3.15
Ge  0.2179  0.2179  0.0418  4 Pm 2.94-3.17, 2 Bi 3.15
Bi  0.5787  0.5787  0.3318  3 Pm 3.10-3.25, 1 Bi 3.18
Bi  0.1846  0.8154  0.5000  6 Pm 3.16-3.21
Bi  0.8154  0.1846  0.5000  6 Pm 3.16-3.21
Bi  0.2007  0.7993  0.0000  2 Ge 3.15, 4 Pm 3.37
Bi  0.7993  0.2007  0.0000  2 Ge 3.15, 4 Pm 3.37
Bi  0.4213  0.4213  0.6682  3 Pm 3.10-3.25, 1 Bi 3.18


[2]
Below is an optimized crystal structure of Pm6GeBi2, with properties calculated at the PBE level.

Summary:
The symmetry is P-62m (189). The density of states at the Fermi level is 12.3 states/eV per cell. Its total DFT energy (no corrections) is -0.3810 Ry/atom.

a b c (Å): 4.3626 8.5805 8.5812
angles (deg): 120.00 90.00 90.00
Last column: nearest neighbours and their distance in Å.
Fractional positions:
Pm  0.5000  0.5970  0.0000  4 Bi 3.40, 1 Ge 3.46, 6 Pm 3.72-3.73
Pm  0.5000  0.4029  0.4029  4 Bi 3.40, 1 Ge 3.46, 6 Pm 3.72-3.73
Pm  0.5000  0.0000  0.5971  4 Bi 3.40, 1 Ge 3.46, 6 Pm 3.72-3.73
Pm  0.0000  0.2440  0.0000  2 Ge 3.02, 2 Bi 3.31
Pm  0.0000  0.7561  0.7562  2 Ge 3.02, 2 Bi 3.31
Pm  0.0000  0.9999  0.2438  2 Ge 3.02, 2 Bi 3.31
Ge  0.5000  0.0002  0.0000  6 Pm 3.02
Bi  0.0000  0.3332  0.6665  9 Pm 3.31-3.40
Bi  0.0000  0.6667  0.3335  9 Pm 3.31-3.40


[3]
Below is an optimized crystal structure of Pm5Ge2Bi, with properties calculated at the PBE level.

Summary:
The symmetry is I4/mcm (140). The density of states at the Fermi level is 17.8 states/eV per cell. Its total DFT energy (no corrections) is -0.3928 Ry/atom.

a b c (Å): 8.1019 8.1019 9.0770
angles (deg): 116.51 116.51 90.00
Last column: nearest neighbours and their distance in Å.
Fractional positions:
Pm  0.5177  0.7031  0.7207  3 Ge 3.00-3.14
Pm  0.7969  0.9823  0.2793  3 Ge 3.00-3.14
Pm  0.0000  0.0000  0.0000  4 Ge 3.11
Pm  0.5000  0.5000  0.0000  4 Ge 3.11
Pm  0.2031  0.0177  0.7207  3 Ge 3.00-3.14
Pm  0.7031  0.2031  0.7207  3 Ge 3.00-3.14
Pm  0.0177  0.5177  0.7207  3 Ge 3.00-3.14
Pm  0.2969  0.7969  0.2793  3 Ge 3.00-3.14
Pm  0.9823  0.4823  0.2793  3 Ge 3.00-3.14
Pm  0.4823  0.2969  0.2793  3 Ge 3.00-3.14
Ge  0.1450  0.3550  0.0000  8 Pm 3.00-3.14, 1 Ge 3.32
Ge  0.6450  0.1450  0.0000  8 Pm 3.00-3.14, 1 Ge 3.32
Ge  0.3550  0.8550  0.0000  8 Pm 3.00-3.14, 1 Ge 3.32
Ge  0.8550  0.6450  0.0000  8 Pm 3.00-3.14, 1 Ge 3.32
Bi  0.7500  0.7500  0.5000  10 Pm 3.43-3.52
Bi  0.2500  0.2500  0.5000  10 Pm 3.43-3.52


[4]
Below is an optimized crystal structure of Pm8GeBi5, with properties calculated at the PBE level.

Summary:
The symmetry is I-4 (82). The density of states at the Fermi level is 15.4 states/eV per cell. Its total DFT energy (no corrections) is -0.3861 Ry/atom.

a b c (Å): 8.2673 8.2673 8.2673
angles (deg): 109.85 108.72 109.85
Last column: nearest neighbours and their distance in Å.
Fractional positions:
Pm  0.1265  0.7315  0.0015  1 Ge 3.00, 2 Bi 3.18-3.22
Pm  0.9985  0.1250  0.7300  1 Ge 3.00, 2 Bi 3.18-3.22
Pm  0.7799  0.2561  0.3851  5 Bi 3.19-3.47, 1 Ge 3.36, 2 Pm 3.56-3.57
Pm  0.6149  0.3949  0.8710  5 Bi 3.19-3.47, 1 Ge 3.36, 2 Pm 3.56-3.57
Pm  0.4761  0.6051  0.2201  5 Bi 3.19-3.47, 1 Ge 3.36, 2 Pm 3.56-3.57
Pm  0.6050  0.8750  0.8735  1 Ge 3.00, 2 Bi 3.18-3.22
Pm  0.2700  0.2685  0.3950  1 Ge 3.00, 2 Bi 3.18-3.22
Pm  0.1290  0.7439  0.5239  5 Bi 3.19-3.47, 1 Ge 3.36, 2 Pm 3.56-3.57
Ge  0.2500  0.5000  0.7500  8 Pm 3.00-3.36
Bi  0.9898  0.3660  0.1173  8 Pm 3.18-3.50
Bi  0.8827  0.8725  0.2487  8 Pm 3.18-3.50
Bi  0.7513  0.6340  0.6238  8 Pm 3.18-3.50
Bi  0.5000  0.0000  0.5000  8 Pm 3.19-3.52
Bi  0.3762  0.1275  0.0102  8 Pm 3.18-3.50


[5]
Below is an optimized crystal structure of Pm8GeBi2, with properties calculated at the PBE level.

Summary:
The symmetry is C2/m (12). The density of states at the Fermi level is 15.0 states/eV per cell. Its total DFT energy (no corrections) is -0.3679 Ry/atom.

a b c (Å): 4.8071 7.7782 9.7723
angles (deg): 92.80 104.24 90.00
Last column: nearest neighbours and their distance in Å.
Fractional positions:
Pm  0.4038  0.4774  0.8077  2 Bi 3.42, 8 Pm 3.58-3.66
Pm  0.6555  0.0521  0.3109  1 Ge 2.95, 2 Bi 3.23
Pm  0.7833  0.6370  0.5667  3 Bi 3.39-3.40, 7 Pm 3.41-3.61
Pm  0.0054  0.2353  0.0107  2 Ge 3.02
Pm  0.2167  0.3630  0.4333  3 Bi 3.39-3.40, 7 Pm 3.41-3.61
Pm  0.3445  0.9479  0.6891  1 Ge 2.95, 2 Bi 3.23
Pm  0.5962  0.5226  0.1923  2 Bi 3.42, 8 Pm 3.58-3.66
Pm  0.9946  0.7647  0.9893  2 Ge 3.02
Ge  0.5000  0.0000  0.0000  6 Pm 2.95-3.02
Bi  0.8259  0.2186  0.6518  9 Pm 3.23-3.42
Bi  0.1741  0.7814  0.3482  9 Pm 3.23-3.42


[6]
Below is an optimized crystal structure of Pm6Ge2Bi, with properties calculated at the PBE level.

Summary:
The symmetry is Immm (71). The density of states at the Fermi level is 20.5 states/eV per cell. Its total DFT energy (no corrections) is -0.3840 Ry/atom.

a b c (Å): 8.8318 8.8318 8.8318
angles (deg): 104.27 111.19 113.08
Last column: nearest neighbours and their distance in Å.
Fractional positions:
Pm  0.5324  0.7216  0.8108  3 Ge 3.14-3.24, 1 Bi 3.30
Pm  0.4676  0.2784  0.1892  3 Ge 3.14-3.24, 1 Bi 3.30
Pm  0.0892  0.2784  0.8108  3 Ge 3.14-3.24, 1 Bi 3.30
Pm  0.9108  0.7216  0.1892  3 Ge 3.14-3.24, 1 Bi 3.30
Pm  0.7911  0.7564  0.5474  2 Ge 3.08-3.27, 1 Bi 3.37
Pm  0.2089  0.2436  0.4526  2 Ge 3.08-3.27, 1 Bi 3.37
Pm  0.2089  0.7564  0.9653  2 Ge 3.08-3.27, 1 Bi 3.37
Pm  0.7911  0.2436  0.0347  2 Ge 3.08-3.27, 1 Bi 3.37
Pm  0.7047  0.3834  0.6787  3 Ge 2.97-3.08
Pm  0.2953  0.6166  0.3213  3 Ge 2.97-3.08
Pm  0.2953  0.9740  0.6787  3 Ge 2.97-3.08
Pm  0.7047  0.0260  0.3213  3 Ge 2.97-3.08
Ge  0.5000  0.3818  0.8818  1 Ge 2.56
Ge  0.5000  0.6182  0.1182  1 Ge 2.56
Ge  0.6322  0.0000  0.6322  1 Ge 2.64
Ge  0.3678  0.0000  0.3678  1 Ge 2.64
Bi  0.0000  0.5000  0.5000  12 Pm 3.47-3.78
Bi  0.0000  0.0000  0.0000  8 Pm 3.30-3.37, 2 Ge 3.67


[7]
Below is an optimized crystal structure of PmGeBi, with properties calculated at the PBE level.

Summary:
The symmetry is P4_2/mmc (131). The density of states at the Fermi level is 9.9 states/eV per cell. The excess energy over the best structure of this formula in the dataset comes out at 2.04 eV/f.u.

a b c (Å): 5.9548 9.1574 9.1574
angles (deg): 90.00 90.00 90.00
Last column: nearest neighbours and their distance in Å.
Fractional positions:
Pm  0.0000  0.5000  0.6986  2 Ge 3.03, 2 Bi 3.16
Pm  0.5000  0.3014  0.5000  2 Ge 3.03, 2 Bi 3.16
Pm  0.5000  0.6986  0.5000  2 Ge 3.03, 2 Bi 3.16
Pm  0.0000  0.5000  0.3014  2 Ge 3.03, 2 Bi 3.16
Bi  0.0000  0.8147  0.5000  4 Pm 3.16-3.41, 1 Bi 3.39
Bi  0.5000  0.5000  0.8147  4 Pm 3.16-3.41, 1 Bi 3.39
Bi  0.5000  0.5000  0.1853  4 Pm 3.16-3.41, 1 Bi 3.39
Bi  0.0000  0.1853  0.5000  4 Pm 3.16-3.41, 1 Bi 3.39
Ge  0.0000  0.6367  0.0000  1 Ge 2.50
Ge  0.5000  0.0000  0.6367  1 Ge 2.50
Ge  0.5000  0.0000  0.3633  1 Ge 2.50
Ge  0.0000  0.3633  0.0000  1 Ge 2.50


[8]
Below is an optimized crystal structure of Pm7Ge2Bi2, with properties calculated at the PBE level.

Summary:
The symmetry is Cmmm (65). The density of states at the Fermi level is 12.5 states/eV per cell. Its total DFT energy (no corrections) is -0.3700 Ry/atom.

a b c (Å): 7.3054 6.8633 7.3054
angles (deg): 90.00 100.86 90.00
Last column: nearest neighbours and their distance in Å.
Fractional positions:
Pm  0.0000  0.2601  0.5000  2 Ge 2.94, 1 Pm 3.29
Pm  0.5000  0.7399  0.0000  2 Ge 2.94, 1 Pm 3.29
Pm  0.0000  0.7399  0.5000  2 Ge 2.94, 1 Pm 3.29
Pm  0.5000  0.2601  0.0000  2 Ge 2.94, 1 Pm 3.29
Pm  0.0000  0.0000  0.0000  2 Ge 3.05
Pm  0.5000  0.7579  0.5000  2 Ge 3.07, 1 Pm 3.32, 2 Bi 3.37
Pm  0.5000  0.2421  0.5000  2 Ge 3.07, 1 Pm 3.32, 2 Bi 3.37
Ge  0.7292  0.0000  0.2708  7 Pm 2.94-3.07
Ge  0.2708  0.0000  0.7292  7 Pm 2.94-3.07
Bi  0.8076  0.5000  0.8076  6 Pm 3.31-3.37, 1 Bi 3.58
Bi  0.1924  0.5000  0.1924  6 Pm 3.31-3.37, 1 Bi 3.58


[9]
Below is an optimized crystal structure of Pm4GeBi3, with properties calculated at the PBE level.

Summary:
The symmetry is Cmmm (65). The density of states at the Fermi level is 3.8 states/eV per cell. The excess energy over the best structure of this formula in the dataset comes out at 0.00 eV/f.u.

a b c (Å): 4.4738 7.8163 7.8163
angles (deg): 109.13 90.00 90.00
Last column: nearest neighbours and their distance in Å.
Fractional positions:
Pm  0.0000  0.2339  0.2339  2 Ge 3.08, 4 Bi 3.19-3.29
Pm  0.5000  0.7589  0.2411  1 Ge 3.07, 5 Bi 3.19-3.30
Pm  0.0000  0.7661  0.7661  2 Ge 3.08, 4 Bi 3.19-3.29
Pm  0.5000  0.2411  0.7589  1 Ge 3.07, 5 Bi 3.19-3.30
Ge  0.5000  0.0000  0.0000  6 Pm 3.07-3.08
Bi  0.0000  0.0000  0.5000  6 Pm 3.19
Bi  0.5000  0.5000  0.5000  6 Pm 3.29-3.30
Bi  0.0000  0.5000  0.0000  6 Pm 3.19


[10]
Below is an optimized crystal structure of Pm12Ge6Bi, with properties calculated at the PBE level.

Summary:
The symmetry is R-3 (148). The density of states at the Fermi level is 15.1 states/eV per cell. Its total DFT energy (no corrections) is -0.3802 Ry/atom.

a b c (Å): 8.7375 8.7375 8.7375
angles (deg): 101.02 101.02 101.02
Last column: nearest neighbours and their distance in Å.
Fractional positions:
Pm  0.8177  0.5838  0.4423  4 Ge 2.96-3.20
Pm  0.4423  0.8177  0.5838  4 Ge 2.96-3.20
Pm  0.5838  0.4423  0.8177  4 Ge 2.96-3.20
Pm  0.1823  0.4162  0.5577  4 Ge 2.96-3.20
Pm  0.5577  0.1823  0.4162  4 Ge 2.96-3.20
Pm  0.4162  0.5577  0.1823  4 Ge 2.96-3.20
Pm  0.0694  0.9296  0.3392  2 Ge 2.87-2.94, 1 Bi 3.11
Pm  0.0704  0.6608  0.9306  2 Ge 2.87-2.94, 1 Bi 3.11
Pm  0.6608  0.9306  0.0704  2 Ge 2.87-2.94, 1 Bi 3.11
Pm  0.9306  0.0704  0.6608  2 Ge 2.87-2.94, 1 Bi 3.11
Pm  0.9296  0.3392  0.0694  2 Ge 2.87-2.94, 1 Bi 3.11
Pm  0.3392  0.0694  0.9296  2 Ge 2.87-2.94, 1 Bi 3.11
Ge  0.6896  0.8650  0.3907  6 Pm 2.87-3.20
Ge  0.6093  0.3104  0.1350  6 Pm 2.87-3.20
Ge  0.1350  0.6093  0.3104  6 Pm 2.87-3.20
Ge  0.3104  0.1350  0.6093  6 Pm 2.87-3.20
Ge  0.3907  0.6896  0.8650  6 Pm 2.87-3.20
Ge  0.8650  0.3907  0.6896  6 Pm 2.87-3.20
Bi  0.0000  0.0000  0.0000  6 Pm 3.11


[11]
Below is an optimized crystal structure of Pm8Ge4Bi3, with properties calculated at the PBE level.

Summary:
The symmetry is C2/m (12). The density of states at the Fermi level is 6.5 states/eV per cell. Its total DFT energy (no corrections) is -0.3863 Ry/atom.

a b c (Å): 8.7291 8.8237 8.8237
angles (deg): 90.10 119.63 119.63
Last column: nearest neighbours and their distance in Å.
Fractional positions:
Pm  0.4693  0.2248  0.2248  2 Ge 2.93-3.00, 3 Bi 3.13-3.25
Pm  0.0000  0.7647  0.2354  3 Ge 2.94-3.12, 2 Bi 3.12
Pm  0.9834  0.2293  0.2293  4 Ge 2.96-3.13, 1 Bi 3.23
Pm  0.5000  0.7569  0.2431  3 Ge 3.04-3.12, 3 Bi 3.12-3.21
Pm  0.5000  0.2431  0.7569  3 Ge 3.04-3.12, 3 Bi 3.12-3.21
Pm  0.0166  0.7707  0.7707  4 Ge 2.96-3.13, 1 Bi 3.23
Pm  0.0000  0.2354  0.7647  3 Ge 2.94-3.12, 2 Bi 3.12
Pm  0.5307  0.7752  0.7752  2 Ge 2.93-3.00, 3 Bi 3.13-3.25
Ge  0.5000  0.0000  0.0000  6 Pm 3.00-3.04
Ge  0.0000  0.5000  0.0000  6 Pm 3.12-3.13
Ge  0.0000  0.0000  0.0000  6 Pm 2.93-2.96
Ge  0.0000  0.0000  0.5000  6 Pm 3.12-3.13
Bi  0.5000  0.5000  0.0000  6 Pm 3.12-3.13
Bi  0.5000  0.0000  0.5000  6 Pm 3.12-3.13
Bi  0.5000  0.5000  0.5000  6 Pm 3.21-3.25


[12]
Below is an optimized crystal structure of Pm3Ge2Bi, with properties calculated at the PBE level.

Summary:
The symmetry is Pmc2_1 (26). The density of states at the Fermi level is 6.9 states/eV per cell. Its total DFT energy (no corrections) is -0.3894 Ry/atom.

a b c (Å): 4.3893 6.7638 11.6115
angles (deg): 90.00 90.00 90.00
Last column: nearest neighbours and their distance in Å.
Fractional positions:
Pm  0.5000  0.2159  0.0470  2 Ge 3.03, 2 Bi 3.22
Pm  0.5000  0.2621  0.7085  4 Ge 2.94-3.04, 2 Bi 3.20
Pm  0.0000  0.2402  0.3915  5 Ge 3.04-3.27, 1 Bi 3.35
Pm  0.5000  0.7159  0.9530  2 Ge 3.03, 2 Bi 3.22
Pm  0.5000  0.7621  0.2915  4 Ge 2.94-3.04, 2 Bi 3.20
Pm  0.0000  0.7402  0.6085  5 Ge 3.04-3.27, 1 Bi 3.35
Ge  0.0000  0.9714  0.1572  5 Pm 3.03-3.27, 1 Bi 3.09
Ge  0.5000  0.9971  0.5044  6 Pm 2.94-3.05
Ge  0.0000  0.4714  0.8428  5 Pm 3.03-3.27, 1 Bi 3.09
Ge  0.5000  0.4971  0.4956  6 Pm 2.94-3.05
Bi  0.0000  0.0146  0.8487  1 Ge 3.09, 7 Pm 3.20-3.46
Bi  0.0000  0.5146  0.1513  1 Ge 3.09, 7 Pm 3.20-3.46